(1)
Crystalline CaAgPS2 at its relaxed geometry, computed with GGA-PBE.

Summary:
- formation energy (no corrections) (meV/atom) = 582
- energy (eV per atom) = -3.12
- total magnetic moment (Bohr magnetons per cell) = 2.10

Lattice parameters (Å, degrees): 5.223 5.223 5.343 90.00 90.00 90.00
Space group P4/mmm (No. 123)
Symmetry-distinct sites (fractional):
Ca  0.000  0.000  0.000 [1 per cell]
Ag  0.500  0.500  0.500 [1 per cell]
P  0.000  0.000  0.500 [1 per cell]
S  0.000  0.500  0.000 [2 per cell]

(2)
Crystalline LiTm5Tl4 at its relaxed geometry, computed with GGA-PBE.

Summary:
- energy (eV per atom) = -3.59
- total magnetic moment (Bohr magnetons per cell) = 0.00
- ΔE_f (eV per atom) = -0.218

Lattice parameters (Å, degrees): 3.705 3.705 18.931 90.00 90.00 90.00
Space group P4/mmm (No. 123)
Symmetry-distinct sites (fractional):
Li  0.000  0.000  0.000 [1 per cell]
Tm  0.500  0.500  0.093 [2 per cell]
Tm  0.500  0.500  0.296 [2 per cell]
Tm  0.500  0.500  0.500 [1 per cell]
Tl  0.000  0.000  0.191 [2 per cell]
Tl  0.000  0.000  0.398 [2 per cell]

(3)
Crystalline YHg2I at its relaxed geometry, computed with GGA-PBE.

Summary:
- formation energy (no corrections) (meV/atom) = -298
- energy (eV per atom) = -2.45
- total magnetic moment (Bohr magnetons per cell) = 0.00

Lattice parameters (Å, degrees): 9.018 9.018 6.185 90.00 90.00 90.00
Space group I-42d (No. 122)
Symmetry-distinct sites (fractional):
Y  0.000  0.000  0.000 [4 per cell]
Hg  0.217  0.250  0.125 [8 per cell]
I  0.000  0.000  0.500 [4 per cell]

(4)
Crystalline CsPmCl4 at its relaxed geometry, computed with GGA-PBE.

Summary:
- formation energy (no corrections) (meV/atom) = -2147
- energy (eV per atom) = -4.31
- total magnetic moment (Bohr magnetons per cell) = 0.00

Lattice parameters (Å, degrees): 4.834 4.834 8.268 90.00 90.00 90.00
Space group P4/mmm (No. 123)
Symmetry-distinct sites (fractional):
Cs  0.000  0.000  0.000 [1 per cell]
Pm  0.500  0.500  0.500 [1 per cell]
Cl  0.000  0.500  0.305 [4 per cell]

(5)
Crystalline SrSb2Ir at its relaxed geometry, computed with GGA-PBE.

Summary:
- formation energy (no corrections) (meV/atom) = -130
- energy (eV per atom) = -4.83
- total magnetic moment (Bohr magnetons per cell) = 0.00

Lattice parameters (Å, degrees): 4.628 5.280 8.001 90.00 90.00 90.00
Space group Cmmm (No. 65)
Symmetry-distinct sites (fractional):
Sr  0.000  0.000  0.000 [2 per cell]
Sb  0.000  0.500  0.307 [4 per cell]
Ir  0.000  0.000  0.500 [2 per cell]

(6)
Crystalline FeAs2Br at its relaxed geometry, computed with GGA-PBE.

Summary:
- formation energy (no corrections) (meV/atom) = 773
- energy (eV per atom) = -4.09
- total magnetic moment (Bohr magnetons per cell) = 9.75

Lattice parameters (Å, degrees): 6.695 6.695 6.695 90.00 90.00 90.00
Space group Fm-3m (No. 225)
Symmetry-distinct sites (fractional):
Fe  0.000  0.000  0.000 [4 per cell]
As  0.250  0.250  0.250 [8 per cell]
Br  0.000  0.000  0.500 [4 per cell]